Record 1
Below is crystalline SrGeSe2 at its relaxed geometry, with properties calculated at the PBE level. Values from VASP.

```
&SYSTEM
  ibrav = 0, nat = 16, ntyp = 3
/
ATOMIC_SPECIES
Sr 87.62 Sr.upf
Se 78.96 Se.upf
Ge 72.64 Ge.upf
ATOMIC_POSITIONS crystal
Sr 0.1196 0.2497 0.9998
Sr 0.8804 0.7503 0.0002
Sr 0.3804 0.7497 0.4998
Sr 0.6196 0.2503 0.5002
Se 0.6466 0.7628 0.7371
Se 0.8529 0.2379 0.7639
Se 0.8534 0.2628 0.2371
Se 0.1466 0.7372 0.7629
Se 0.6471 0.7379 0.2639
Se 0.1471 0.7621 0.2361
Se 0.3529 0.2621 0.7361
Se 0.3534 0.2372 0.2629
Ge 0.8330 0.7510 0.5011
Ge 0.6670 0.2510 0.0011
Ge 0.1670 0.2490 0.4989
Ge 0.3330 0.7490 0.9989
CELL_PARAMETERS angstrom
8.9632 0.0000 0.0000
0.0000 7.5239 -0.8343
0.0000 -4.3525 7.4076
```

Properties
**ρ**: 4.53 g cm⁻³
**Formation energy without anion corrections**: -1.12 eV per atom
**Total magnetization**: 0.00 μB per formula unit

Record 2
Below is crystalline SrGe2Se at its relaxed geometry, with properties calculated at the PBE level. Values from VASP.

```
&SYSTEM
  ibrav = 0, nat = 8, ntyp = 3
/
ATOMIC_SPECIES
Ge 72.64 Ge.upf
Sr 87.62 Sr.upf
Se 78.96 Se.upf
ATOMIC_POSITIONS crystal
Ge 0.3750 0.4175 0.7500
Ge 0.1675 0.6250 0.2500
Ge 0.5825 0.1250 0.2500
Ge 0.8750 0.8325 0.7500
Sr 0.7500 0.2500 0.5000
Sr 0.0000 0.0000 0.0000
Se 0.5000 0.5000 0.0000
Se 0.2500 0.7500 0.5000
CELL_PARAMETERS angstrom
-2.4518 -1.4329 8.0431
-6.3528 -4.9456 -2.8176
-2.6409 -5.5211 2.7343
```

Properties
**ρ**: 4.87 g cm⁻³
**Formation energy without anion corrections**: -0.25 eV per atom
**Total magnetization**: 0.00 μB per formula unit